Record 1
## ZrInPb2 (PBE-GGA)

Data for a relaxed structure of ZrInPb2.

Cell lengths 3.2947, 5.5579, 5.7739 Å; angles 90.00, 90.71, 90.00 degrees
Positions (direct):
Zr 0.0000 0.0000 0.0000
In 0.5000 0.0000 0.5000
Pb 0.2667 0.5000 0.7600
Pb 0.7333 0.5000 0.2400

Computed properties:
- formation enthalpy at 0 K (eV per atom) = 0.052
- E_tot (eV for the cell shown) = -18.5
- space-group type = P2/m (10)
- DOS(E_F) (states/eV/cell) = 1.768

Record 2
## Zr4InPb (PBE-GGA)

Data for a relaxed structure of Zr4InPb.

Cell lengths 8.5235, 8.5235, 6.5665 Å; angles 96.99, 96.99, 39.33 degrees
Positions (direct):
Zr 0.0367 0.8176 0.5771
Zr 0.1824 0.9633 0.9229
Zr 0.1851 0.5046 0.9168
Zr 0.4954 0.8149 0.5832
Zr 0.5046 0.1851 0.4168
Zr 0.8149 0.4954 0.0832
Zr 0.8176 0.0367 0.0771
Zr 0.9633 0.1824 0.4229
In 0.0000 0.5000 0.5000
In 0.5000 0.0000 0.0000
Pb 0.3953 0.6047 0.2500
Pb 0.6047 0.3953 0.7500

Computed properties:
- formation enthalpy at 0 K (eV per atom) = 0.160
- E_tot (eV for the cell shown) = -79.4
- space-group type = C2/c (15)
- relative energy among the computed polymorphs (meV per atom) = 361
- DOS(E_F) (states/eV/cell) = 15.295

Record 3
## ZrIn2Pb (PBE-GGA)

Data for a relaxed structure of ZrIn2Pb.

Cell lengths 3.2695, 3.2695, 9.5377 Å; angles 90.00, 90.00, 90.00 degrees
Positions (direct):
Zr 0.0000 0.0000 0.0000
In 0.5000 0.5000 0.2242
In 0.5000 0.5000 0.7758
Pb 0.0000 0.0000 0.5000

Computed properties:
- formation enthalpy at 0 K (eV per atom) = -0.045
- E_tot (eV for the cell shown) = -17.9
- space-group type = P4/mmm (123)
- DOS(E_F) (states/eV/cell) = 2.971

Record 4
## ZrInPb2 (PBE-GGA)

Data for a relaxed structure of ZrInPb2.

Cell lengths 3.4731, 5.5019, 11.0985 Å; angles 90.00, 90.00, 90.00 degrees
Positions (direct):
Zr 0.0000 0.0000 0.0000
Zr 0.5000 0.5000 0.5000
In 0.0000 0.0000 0.5000
In 0.5000 0.5000 0.0000
Pb 0.0000 0.5000 0.2608
Pb 0.0000 0.5000 0.7392
Pb 0.5000 0.0000 0.2392
Pb 0.5000 0.0000 0.7608

Computed properties:
- formation enthalpy at 0 K (eV per atom) = 0.044
- E_tot (eV for the cell shown) = -37.1
- space-group type = Immm (71)
- DOS(E_F) (states/eV/cell) = 5.431